1.
# PBE-GGA K3ZrCr2S6, relaxed
data_K3ZrCr2S6
_space_group_name_H-M_alt 'C 1 2/m 1'
_space_group_IT_number 12
_cell_length_a 6.4847
_cell_length_b 11.2299
_cell_length_c 7.5519
_cell_angle_alpha 90.00
_cell_angle_beta 106.66
_cell_angle_gamma 90.00
loop_
_space_group_symop_operation_xyz
'x,y,z'
'-x,-y,-z'
'-x,y,-z'
'x,-y,z'
'x+1/2,y+1/2,z'
'-x+1/2,-y+1/2,-z'
'-x+1/2,y+1/2,-z'
'x+1/2,-y+1/2,z'
loop_
_atom_site_label
_atom_site_fract_x
_atom_site_fract_y
_atom_site_fract_z
_atom_site_occupancy
K1 0.0000 0.0000 0.0000 1
K2 0.0000 0.3352 0.0000 1
Zr1 0.0000 0.5000 0.5000 1
Cr1 0.0000 0.1668 0.5000 1
S1 0.2176 0.0000 0.6848 1
S2 0.2338 0.3280 0.6854 1
# Size of the total moment, μB per cell: 13.573
# DFT total energy, eV per atom: -5.748
# Formation energy (no corrections), eV/f.u.: -13.1
# Theoretical density, Mg/m³: 3.18
# V, Å³/cell: 527

2.
# PBE-GGA SiAgAs2, relaxed
data_SiAgAs2
_space_group_name_H-M_alt 'I m m m'
_space_group_IT_number 71
_space_group_name_Hall '-I 2 2'
_cell_length_a 3.5027
_cell_length_b 4.1991
_cell_length_c 10.6707
_cell_angle_alpha 90.00
_cell_angle_beta 90.00
_cell_angle_gamma 90.00
loop_
_atom_site_label
_atom_site_fract_x
_atom_site_fract_y
_atom_site_fract_z
_atom_site_occupancy
Si1 0.0000 0.0000 0.0000 1
Ag1 0.0000 0.0000 0.5000 1
As1 0.0000 0.5000 0.3265 1
# Size of the total moment, μB per cell: 0.000
# DFT total energy, eV per atom: -4.100
# Formation energy (no corrections), eV/f.u.: 1.2
# Theoretical density, Mg/m³: 6.05
# V, Å³/cell: 157

3.
# PBE-GGA PrPu2Si2Au2, relaxed
data_PrPu2Si2Au2
_space_group_name_H-M_alt 'R -3 m'
_space_group_IT_number 166
_space_group_name_Hall '-R 3 2"'
_cell_length_a 4.1218
_cell_length_b 4.1218
_cell_length_c 28.6875
_cell_angle_alpha 90.00
_cell_angle_beta 90.00
_cell_angle_gamma 120.00
loop_
_atom_site_label
_atom_site_fract_x
_atom_site_fract_y
_atom_site_fract_z
_atom_site_occupancy
Pr1 0.0000 0.0000 0.0000 1
Pu1 0.0000 0.0000 0.1518 1
Si1 0.0000 0.0000 0.2495 1
Au1 0.0000 0.0000 0.4058 1
# Size of the total moment, μB per cell: 6.385
# DFT total energy, eV per atom: -7.605
# Formation energy (no corrections), eV/f.u.: -2.4
# Theoretical density, Mg/m³: 12.74
# V, Å³/cell: 422

4.
# PBE-GGA CsK2Si2, relaxed
data_CsK2Si2
_space_group_name_H-M_alt 'I 4/m m m'
_space_group_IT_number 139
_space_group_name_Hall '-I 4 2'
_cell_length_a 6.1948
_cell_length_b 6.1948
_cell_length_c 10.4010
_cell_angle_alpha 90.00
_cell_angle_beta 90.00
_cell_angle_gamma 90.00
loop_
_atom_site_label
_atom_site_fract_x
_atom_site_fract_y
_atom_site_fract_z
_atom_site_occupancy
Cs1 0.0000 0.0000 0.0000 1
K1 0.0000 0.5000 0.2500 1
Si1 0.0000 0.0000 0.3939 1
# Size of the total moment, μB per cell: 0.000
# DFT total energy, eV per atom: -2.652
# Formation energy (no corrections), eV/f.u.: 0.6
# Theoretical density, Mg/m³: 2.22
# V, Å³/cell: 399

5.
# PBE-GGA ZrMnHg2, relaxed
data_ZrMnHg2
_space_group_name_H-M_alt 'R 3 m'
_space_group_IT_number 160
_space_group_name_Hall 'R 3 -2"'
_cell_length_a 3.2085
_cell_length_b 3.2085
_cell_length_c 28.4141
_cell_angle_alpha 90.00
_cell_angle_beta 90.00
_cell_angle_gamma 120.00
loop_
_atom_site_label
_atom_site_fract_x
_atom_site_fract_y
_atom_site_fract_z
_atom_site_occupancy
Zr1 0.0000 0.0000 0.0000 1
Mn1 0.0000 0.0000 0.2568 1
Hg1 0.0000 0.0000 0.5129 1
Hg2 0.0000 0.0000 0.7547 1
# Size of the total moment, μB per cell: 8.916
# DFT total energy, eV per atom: -4.401
# Calculated formation energy, eV per atom: 0.18
# Theoretical density, Mg/m³: 10.76
# V, Å³/cell: 253

6.
# PBE-GGA NpTi2Tl, relaxed
data_NpTi2Tl
_space_group_name_H-M_alt 'P 4/m m m'
_space_group_IT_number 123
_space_group_name_Hall '-P 4 2'
_cell_length_a 4.9392
_cell_length_b 4.9392
_cell_length_c 3.1881
_cell_angle_alpha 90.00
_cell_angle_beta 90.00
_cell_angle_gamma 90.00
loop_
_atom_site_label
_atom_site_fract_x
_atom_site_fract_y
_atom_site_fract_z
_atom_site_occupancy
Np1 0.0000 0.0000 0.0000 1
Ti1 0.0000 0.5000 0.5000 1
Tl1 0.5000 0.5000 0.0000 1
# Size of the total moment, μB per cell: 4.070
# DFT total energy, eV per atom: -7.554
# Calculated formation energy, eV per atom: 0.22
# Theoretical density, Mg/m³: 11.47
# V, Å³/cell: 78
# Excess energy over the best structure of this formula in the dataset, eV per atom: 0.000

7.
# PBE-GGA TaTlCr2, relaxed
data_TaTlCr2
_space_group_name_H-M_alt 'P 1 m 1'
_space_group_IT_number 6
_cell_length_a 3.0052
_cell_length_b 3.7963
_cell_length_c 5.8663
_cell_angle_alpha 90.00
_cell_angle_beta 97.35
_cell_angle_gamma 90.00
loop_
_space_group_symop_operation_xyz
'x,y,z'
'x,-y,z'
loop_
_atom_site_label
_atom_site_fract_x
_atom_site_fract_y
_atom_site_fract_z
_atom_site_occupancy
Ta1 0.0000 0.0000 0.0000 1
Tl1 0.5900 0.5000 0.3230 1
Cr1 0.1680 0.0000 0.6132 1
Cr2 0.5244 0.5000 0.7910 1
# Size of the total moment, μB per cell: 0.007
# DFT total energy, eV per atom: -7.857
# Calculated formation energy, eV per atom: 0.51
# Theoretical density, Mg/m³: 12.24
# V, Å³/cell: 66
# Excess energy over the best structure of this formula in the dataset, eV per atom: 0.129

8.
# PBE-GGA Sm3Ho3Tm4, relaxed
data_Sm3Ho3Tm4
_space_group_name_H-M_alt 'A m m 2'
_space_group_IT_number 38
_cell_length_a 3.6443
_cell_length_b 13.2143
_cell_length_c 13.2519
_cell_angle_alpha 90.00
_cell_angle_beta 90.00
_cell_angle_gamma 90.00
loop_
_space_group_symop_operation_xyz
'x,y,z'
'-x,-y,z'
'-x,y,z'
'x,-y,z'
'x,y+1/2,z+1/2'
'-x,-y+1/2,z+1/2'
'-x,y+1/2,z+1/2'
'x,-y+1/2,z+1/2'
loop_
_atom_site_label
_atom_site_fract_x
_atom_site_fract_y
_atom_site_fract_z
_atom_site_occupancy
Sm1 0.0000 0.0000 0.0000 1
Sm2 0.0000 0.1741 0.6731 1
Ho1 0.0000 0.0000 0.3474 1
Ho2 0.5000 0.2473 0.4221 1
Tm1 0.5000 0.0000 0.5481 1
Tm2 0.5000 0.0000 0.7979 1
Tm3 0.5000 0.1240 0.1751 1
# Size of the total moment, μB per cell: 0.000
# DFT total energy, eV per atom: -4.485
# Calculated formation energy, eV per atom: 0.09
# Theoretical density, Mg/m³: 8.44
# V, Å³/cell: 638

Copy entry 5 word for word.
# PBE-GGA ZrMnHg2, relaxed
data_ZrMnHg2
_space_group_name_H-M_alt 'R 3 m'
_space_group_IT_number 160
_space_group_name_Hall 'R 3 -2"'
_cell_length_a 3.2085
_cell_length_b 3.2085
_cell_length_c 28.4141
_cell_angle_alpha 90.00
_cell_angle_beta 90.00
_cell_angle_gamma 120.00
loop_
_atom_site_label
_atom_site_fract_x
_atom_site_fract_y
_atom_site_fract_z
_atom_site_occupancy
Zr1 0.0000 0.0000 0.0000 1
Mn1 0.0000 0.0000 0.2568 1
Hg1 0.0000 0.0000 0.5129 1
Hg2 0.0000 0.0000 0.7547 1
# Size of the total moment, μB per cell: 8.916
# DFT total energy, eV per atom: -4.401
# Calculated formation energy, eV per atom: 0.18
# Theoretical density, Mg/m³: 10.76
# V, Å³/cell: 253

Number 2 is which compound?
SiAgAs2

Among the records above, which one has the highest size of the total moment?
K3ZrCr2S6